Below is crystalline Zr2GeAs2 at its relaxed geometry, with properties calculated at the PBE level. Values from VASP.

The structure in Quantum ESPRESSO input format:
```
&SYSTEM
  ibrav = 0, nat = 10, ntyp = 3
/
ATOMIC_SPECIES
As 74.92 As.upf
Ge 72.64 Ge.upf
Zr 91.22 Zr.upf
CELL_PARAMETERS angstrom
7.472 0.000 0.000
0.000 7.472 0.000
0.000 0.000 3.550
ATOMIC_POSITIONS crystal
As 0.357 0.857 0.000
As 0.857 0.643 0.000
As 0.643 0.143 0.000
As 0.143 0.357 0.000
Ge 0.000 0.000 0.000
Ge 0.500 0.500 0.000
Zr 0.152 0.652 0.500
Zr 0.652 0.848 0.500
Zr 0.848 0.348 0.500
Zr 0.348 0.152 0.500
```

energy = -67.89 eV per cell
ΔE to the lowest computed polymorph = 140.3 meV per atom
energy of formation = -587 meV per atom